1.
The following is a meta-GGA SCAN calculation of KNaSe at its PBEsol-relaxed geometry, from Alexandria via LeMat-Bulk.

Unit cell a=4.7669 b=7.9836 c=8.6643 alpha=90.00 beta=90.00 gamma=90.00
Positions (direct):
K: 0.2500 0.4860 0.6849
K: 0.2500 0.9860 0.8151
K: 0.7500 0.5140 0.3151
K: 0.7500 0.0140 0.1849
Na: 0.2500 0.8527 0.4259
Na: 0.7500 0.1473 0.5741
Na: 0.7500 0.6473 0.9259
Na: 0.2500 0.3527 0.0741
Se: 0.2500 0.2216 0.3931
Se: 0.7500 0.7784 0.6069
Se: 0.2500 0.7216 0.1069
Se: 0.7500 0.2784 0.8931

Results
- Space-group type: Pnma, No. 62
- D(E_F): 0.000 states/eV/atom
- Crystal system: orthorhombic
- Uncorrected energy: -12.17 eV/atom
- ΔE_f (raw): -1.296 eV per atom

***

2.
The following is a meta-GGA SCAN calculation of K3NaSn3Se8 at its PBEsol-relaxed geometry, from Alexandria via LeMat-Bulk.

Unit cell a=8.0648 b=8.0648 c=13.6847 alpha=90.00 beta=90.00 gamma=90.00
Positions (direct):
K: 0.0000 0.0000 0.7244
K: 0.5000 0.5000 0.7244
K: 0.5000 0.5000 0.2756
K: 0.0000 0.0000 0.2756
K: 0.5000 0.5000 0.0000
K: 0.0000 0.0000 0.0000
Na: 0.0000 0.5000 0.0000
Na: 0.5000 0.0000 0.0000
Sn: 0.5000 0.0000 0.7552
Sn: 0.5000 0.0000 0.2448
Sn: 0.0000 0.5000 0.7552
Sn: 0.0000 0.5000 0.2448
Sn: 0.5000 0.0000 0.5000
Sn: 0.0000 0.5000 0.5000
Se: 0.3321 0.8321 0.6238
Se: 0.1855 0.6855 0.8539
Se: 0.8321 0.3321 0.3762
Se: 0.3321 0.1679 0.3762
Se: 0.6855 0.8145 0.8539
Se: 0.6855 0.1855 0.1461
Se: 0.8145 0.6855 0.1461
Se: 0.3145 0.8145 0.1461
Se: 0.8321 0.6679 0.6238
Se: 0.8145 0.3145 0.8539
Se: 0.6679 0.8321 0.3762
Se: 0.6679 0.1679 0.6238
Se: 0.1679 0.6679 0.3762
Se: 0.1855 0.3145 0.1461
Se: 0.1679 0.3321 0.6238
Se: 0.3145 0.1855 0.8539

Results
- Space-group type: P4/nbm, No. 125
- D(E_F): 0.000 states/eV/atom
- Crystal system: tetragonal
- Uncorrected energy: -20.71 eV/atom
- ΔE_f (raw): -0.874 eV per atom